Below is MnTe2Se at its PBEsol-relaxed geometry, with properties calculated at the meta-GGA SCAN level.

POSCAR file:
```
MnTe2Se
1.0
5.1101 0.0000 0.0000
0.0000 5.1101 0.0000
0.0000 0.0000 3.3860
Mn Te Se
1 2 1
direct
0.0000 0.0000 0.0000 Mn
0.0000 0.5000 0.5000 Te
0.5000 0.0000 0.5000 Te
0.5000 0.5000 0.0000 Se
```

Values from the calculation:
spin magnetization = 1.1433 μB/atom
E_form (uncorrected) = 0.90 eV per formula unit
crystal system = tetragonal
DFT total energy = -27.9847 eV per atom
density of states at the Fermi level = 2.373 states/eV per cell
symmetry = P4/mmm